(1)
Entry from Alexandria via LeMat-Bulk: a relaxed GdSc2Tl crystal (PBE-GGA).

## Properties
* excess energy over the best structure of this formula in the dataset: 0.51 eV/f.u.
* ρ: 7.54 Mg/m³
* total magnetic moment: 2.47 μB per atom
* energy of formation from the pure elements: -0.06 eV/atom

Unit cell a=5.200 b=5.200 c=5.200 alpha=60.00 beta=60.00 gamma=60.00
Each line ends with the local moment (μB).
Fractional coordinates of all 4 atoms:
Sc 0.250 0.250 0.250  -0.54
Sc 0.750 0.750 0.750  -0.54
Tl 0.500 0.500 0.500  0.03
Gd 0.000 0.000 0.000  -7.74

(2)
Entry from Alexandria via LeMat-Bulk: a relaxed Y2TeIrPd crystal (PBE-GGA).

## Properties
* ρ: 7.18 Mg/m³
* energy: -6.087 eV/atom
* total magnetic moment: 0.00 μB per atom

Unit cell a=5.454 b=4.695 c=5.454 alpha=90.00 beta=90.00 gamma=90.00
Fractional coordinates of all 5 atoms:
Y 0.000 0.000 0.500
Y 0.500 0.000 0.000
Ir 0.000 0.500 0.000
Te 0.500 0.500 0.500
Pd 0.000 0.000 0.000

(3)
Entry from Alexandria via LeMat-Bulk: a relaxed Sc2InGe2 crystal (PBE-GGA).

## Properties
* ρ: 5.31 Mg/m³
* total magnetic moment: 0.00 μB per atom
* energy of formation from the pure elements: -0.35 eV/atom

Unit cell a=3.636 b=3.636 c=8.674 alpha=77.90 beta=77.90 gamma=90.00
Fractional coordinates of all 5 atoms:
Sc 0.384 0.384 0.231
Sc 0.616 0.616 0.769
Ge 0.750 0.250 0.500
Ge 0.250 0.750 0.500
In 0.000 0.000 0.000

(4)
Entry from Alexandria via LeMat-Bulk: a relaxed CdCu3Re crystal (PBE-GGA).

## Properties
* excess energy over the best structure of this formula in the dataset: 0.00 eV/f.u.
* ρ: 7.84 Mg/m³
* total magnetic moment: 0.25 μB per atom
* energy of formation from the pure elements: 1.36 eV/atom

Unit cell a=4.697 b=4.697 c=4.697 alpha=90.00 beta=90.00 gamma=90.00
Each line ends with the local moment (μB).
Fractional coordinates of all 5 atoms:
Re 0.000 0.000 0.000  0.76
Cu 0.000 0.500 0.000  0.08
Cu 0.000 0.000 0.500  0.20
Cu 0.500 0.000 0.000  0.04
Cd 0.500 0.500 0.500  0.01